[1]
Density functional theory data (GGA-PBE) for a relaxed structure of Rb6Eu.

POSCAR file:
```
Rb6Eu
1.0
10.2424 0.0000 0.0000
-3.4141 9.6566 0.0000
-3.4141 -4.8283 8.3629
Rb Eu
6 1
direct
0.5000 0.2500 0.7500
0.5000 0.7500 0.2500
0.7500 0.5000 0.2500
0.7500 0.2500 0.5000
0.2500 0.5000 0.7500
0.2500 0.7500 0.5000
0.0000 0.0000 0.0000
```

For the formation energy from the elements, the calculation gives 0.4496 eV/atom. The value obtained for the total energy is -12.93 eV per formula unit. Its crystal system is cubic.

***

[2]
Density functional theory data (GGA-PBE) for a relaxed structure of MgAlPb2.

POSCAR file:
```
MgAlPb2
1.0
-9.0839 -0.9556 -2.0274
-8.4529 -4.0097 -0.1093
-9.1718 -0.8702 1.6318
Pb Al Mg
2 1 1
direct
0.9963 0.9963 0.9963
0.5037 0.5037 0.5037
0.2500 0.2500 0.2500
0.7500 0.7500 0.7500
```

Its excess energy over the best structure of this formula in the dataset is 58.9 meV/atom. For the formation energy from the elements, the calculation gives 0.1396 eV/atom. The value obtained for the total energy is -12.20 eV per formula unit. Its crystal system is trigonal.

***

[3]
Density functional theory data (GGA-PBE) for a relaxed structure of Ce3TmTh2As6.

POSCAR file:
```
Ce3TmTh2As6
1.0
-4.4512 -5.6120 1.3546
5.0396 -0.5286 -5.2407
4.3147 -0.4218 5.8837
As Ce Th Tm
6 3 2 1
direct
0.2438 0.2438 0.7508
0.9178 0.5906 0.7528
0.5906 0.9178 0.7528
0.4094 0.0822 0.2472
0.7562 0.7562 0.2492
0.0822 0.4094 0.2472
0.5000 0.5000 0.5000
0.8319 0.1681 0.5000
0.1681 0.8319 0.5000
0.3338 0.6662 0.0000
0.6662 0.3338 0.0000
0.0000 0.0000 0.0000
```

For the formation energy from the elements, the calculation gives -1.4361 eV/atom. The value obtained for the total energy is -82.24 eV per formula unit. Its crystal system is monoclinic.

***

[4]
Density functional theory data (GGA-PBE) for a relaxed structure of PrSN2.

POSCAR file:
```
PrSN2
1.0
4.7408 0.0000 0.1129
0.0000 5.7009 0.0000
3.5976 0.0000 9.0539
N S Pr
4 2 2
direct
0.5264 0.1497 0.6244
0.4736 0.6497 0.3756
0.4736 0.8503 0.3756
0.5264 0.3503 0.6244
0.3159 0.7500 0.9168
0.6841 0.2500 0.0832
0.3131 0.2500 0.9224
0.6869 0.7500 0.0776
```

The value obtained for the total energy is -28.48 eV per formula unit. As for the uncorrected formation energy: -0.73 eV/atom. Its crystal system is monoclinic.

***

[5]
Density functional theory data (GGA-PBE) for a relaxed structure of Be3SbRh.

POSCAR file:
```
Be3SbRh
1.0
-2.4690 -2.3866 -2.8480
3.6469 -2.2119 -1.3080
-0.7123 -3.0520 3.1751
Be Rh Sb
3 1 1
direct
0.0000 0.0000 0.5000
0.5000 0.0000 0.0000
0.0000 0.5000 0.0000
0.5000 0.5000 0.5000
0.0000 0.0000 0.0000
```

Its excess energy over the best structure of this formula in the dataset is 1070.2 meV/atom. The value obtained for the total energy is -15.46 eV per formula unit. As for the uncorrected formation energy: 1.44 eV/atom. Its crystal system is cubic.

***

[6]
Density functional theory data (GGA-PBE) for a relaxed structure of PmDyCuSn.

POSCAR file:
```
PmDyCuSn
1.0
-3.1198 -1.1644 4.0108
1.1852 -3.9769 3.1551
1.5755 0.9261 4.8821
Dy Sn Cu Pm
1 1 1 1
direct
0.0000 0.0000 0.0000
0.2500 0.2500 0.2500
0.7500 0.7500 0.7500
0.5000 0.5000 0.5000
```

For the formation energy from the elements, the calculation gives -0.4249 eV/atom. The value obtained for the total energy is -19.15 eV per formula unit. Its crystal system is cubic.

***

[7]
Density functional theory data (GGA-PBE) for a relaxed structure of TlReP2.

POSCAR file:
```
TlReP2
1.0
0.0000 3.2109 3.2109
3.2109 0.0000 3.2109
3.2109 3.2109 0.0000
P Tl Re
2 1 1
direct
0.7500 0.7500 0.7500
0.2500 0.2500 0.2500
0.5000 0.5000 0.5000
0.0000 0.0000 0.0000
```

Its excess energy over the best structure of this formula in the dataset is 819.5 meV/atom. For the formation energy from the elements, the calculation gives 0.8302 eV/atom. The value obtained for the total energy is -22.31 eV per formula unit. Its crystal system is cubic.

***

[8]
Density functional theory data (GGA-PBE) for a relaxed structure of HfC.

POSCAR file:
```
HfC
1.0
6.1711 0.0000 0.0000
0.0000 6.1711 0.0000
0.0000 0.0000 6.1711
Hf C
6 6
direct
0.5000 0.2500 0.0000
0.2500 0.0000 0.5000
0.0000 0.5000 0.2500
0.5000 0.7500 0.0000
0.7500 0.0000 0.5000
0.0000 0.5000 0.7500
0.5000 0.0000 0.7500
0.0000 0.7500 0.5000
0.5000 0.0000 0.2500
0.0000 0.2500 0.5000
0.2500 0.5000 0.0000
0.7500 0.5000 0.0000
```

Its excess energy over the best structure of this formula in the dataset is 752.2 meV/atom. For the formation energy from the elements, the calculation gives -0.1910 eV/atom. The value obtained for the total energy is -19.56 eV per formula unit. Its crystal system is cubic.

***

[9]
Density functional theory data (GGA-PBE) for a relaxed structure of Tb4Te2AuSe.

POSCAR file:
```
Tb4Te2AuSe
1.0
4.1597 0.0000 0.0000
0.0000 7.5004 -0.2204
0.0000 2.5738 7.0300
Te Se Tb Au
2 1 4 1
direct
0.0000 0.0000 0.0000
0.5000 0.0000 0.5000
0.5000 0.5000 0.0000
0.0000 0.2724 0.2432
0.5000 0.2755 0.7360
0.0000 0.7276 0.7568
0.5000 0.7245 0.2640
0.0000 0.5000 0.5000
```

The value obtained for the total energy is -42.18 eV per formula unit. As for the uncorrected formation energy: -1.33 eV/atom. Its crystal system is monoclinic.

***

[10]
Density functional theory data (GGA-PBE) for a relaxed structure of ZrSc2Mn.

POSCAR file:
```
ZrSc2Mn
1.0
-0.5338 4.1287 2.2432
-1.8592 1.0351 -2.3475
-5.4696 -1.5395 1.5320
Sc Zr Mn
2 1 1
direct
0.0000 0.9525 0.9691
0.5000 0.2971 0.2738
0.0000 0.6760 0.5111
0.5000 0.5744 0.7459
```

Its excess energy over the best structure of this formula in the dataset is 99.1 meV/atom. For the formation energy from the elements, the calculation gives 0.1305 eV/atom. The value obtained for the total energy is -29.86 eV per formula unit. Its crystal system is monoclinic.

***

[11]
Density functional theory data (GGA-PBE) for a relaxed structure of MgH2NCl.

POSCAR file:
```
MgH2NCl
1.0
-2.4957 1.8979 0.9966
-1.6308 -5.2501 0.4842
2.3031 -0.1560 6.0647
N Mg H Cl
2 2 4 2
direct
0.0000 0.0000 0.5000
0.0000 0.0000 0.0000
0.5238 0.0475 0.7500
0.4762 0.9525 0.2500
0.9040 0.8080 0.9700
0.9040 0.8080 0.5300
0.0960 0.1920 0.0300
0.0960 0.1920 0.4700
0.2491 0.4982 0.2500
0.7509 0.5018 0.7500
```

The value obtained for the total energy is -21.58 eV per formula unit. Its crystal system is orthorhombic.

***

[12]
Density functional theory data (GGA-PBE) for a relaxed structure of Tl3HgSeCl.

POSCAR file:
```
Tl3HgSeCl
1.0
-0.7688 -2.6198 -3.7152
-4.0692 -6.0285 5.0931
-8.4329 7.5507 -3.5793
Cl Tl Hg Se
2 6 2 2
direct
0.7500 0.9926 0.3633
0.2500 0.0074 0.6367
0.7500 0.9298 0.0980
0.7500 0.2188 0.6233
0.2500 0.4969 0.8482
0.2500 0.7812 0.3767
0.7500 0.5031 0.1518
0.2500 0.0702 0.9020
0.7500 0.7565 0.7871
0.2500 0.2435 0.2129
0.7500 0.2957 0.9082
0.2500 0.7043 0.0918
```

The value obtained for the total energy is -15.65 eV per formula unit. As for the uncorrected formation energy: -0.49 eV/atom. Its crystal system is monoclinic.

***

[13]
Density functional theory data (GGA-PBE) for a relaxed structure of BaUGa2O8.

POSCAR file:
```
BaUGa2O8
1.0
-1.8933 -3.9693 -1.9837
3.7842 -2.7942 1.2728
-3.9352 -1.3217 6.4575
O Ga U Ba
8 2 1 1
direct
0.6954 0.6858 0.0024
0.2057 0.7740 0.7901
0.4392 0.5968 0.4374
0.2138 0.8219 0.1914
0.7943 0.2260 0.2099
0.5608 0.4032 0.5626
0.3046 0.3142 0.9976
0.7862 0.1781 0.8086
0.5034 0.5085 0.1853
0.4966 0.4915 0.8147
0.0000 0.0000 0.0000
0.0000 0.0000 0.5000
```

The value obtained for the total energy is -85.31 eV per formula unit. As for the uncorrected formation energy: -2.20 eV/atom. Its crystal system is triclinic.

***

[14]
Density functional theory data (GGA-PBE) for a relaxed structure of ZrGeI.

POSCAR file:
```
ZrGeI
1.0
-5.2419 -1.8466 -5.1968
5.8299 -4.4636 -0.6454
-2.1807 -7.2305 0.9265
Ge I Zr
4 4 4
direct
0.3240 0.2124 0.6368
0.6132 0.7124 0.9260
0.3616 0.2876 0.0992
0.1508 0.7876 0.8884
0.7946 0.7475 0.3663
0.8861 0.2525 0.9529
0.2971 0.7525 0.3639
0.8837 0.2475 0.4554
0.6920 0.4346 0.1907
0.0593 0.9346 0.5580
0.5074 0.0654 0.8753
0.3747 0.5654 0.7426
```

The value obtained for the total energy is -15.61 eV per formula unit. As for the uncorrected formation energy: -0.30 eV/atom. Its crystal system is orthorhombic.

***

[15]
Density functional theory data (GGA-PBE) for a relaxed structure of Ca2MgFe.

POSCAR file:
```
Ca2MgFe
1.0
10.4917 0.0643 0.0379
9.8783 3.5353 0.0379
9.8783 1.7456 3.0745
Ca Fe Mg
2 1 1
direct
0.5126 0.5126 0.5126
0.9874 0.9874 0.9874
0.2500 0.2500 0.2500
0.7500 0.7500 0.7500
```

For the formation energy from the elements, the calculation gives 0.4658 eV/atom. The value obtained for the total energy is -12.20 eV per formula unit. Its crystal system is trigonal.

***

[16]
Density functional theory data (GGA-PBE) for a relaxed structure of NaMg2Pb4.

POSCAR file:
```
NaMg2Pb4
1.0
5.7108 0.0000 0.0000
0.0000 5.7108 0.0000
-2.8554 -2.8554 6.5926
Mg Pb Na
2 4 1
direct
0.3719 0.3719 0.7437
0.6281 0.6281 0.2563
0.5000 0.0000 0.0000
0.2500 0.7500 0.5000
0.0000 0.5000 0.0000
0.7500 0.2500 0.5000
0.0000 0.0000 0.0000
```

Its excess energy over the best structure of this formula in the dataset is 77.9 meV/atom. For the formation energy from the elements, the calculation gives 0.1000 eV/atom. The value obtained for the total energy is -18.64 eV per formula unit. Its crystal system is tetragonal.

***

[17]
Density functional theory data (GGA-PBE) for a relaxed structure of KZr2Fe.

POSCAR file:
```
KZr2Fe
1.0
4.8308 0.0070 0.0009
3.7577 3.0357 0.0009
2.1847 0.7740 7.9792
Fe Zr K
1 2 1
direct
0.5277 0.5277 0.6673
0.8009 0.8009 0.6587
0.0111 0.0111 0.8925
0.1603 0.1603 0.2815
```

Its excess energy over the best structure of this formula in the dataset is 248.1 meV/atom. For the formation energy from the elements, the calculation gives 0.5587 eV/atom. The value obtained for the total energy is -24.42 eV per formula unit. Its crystal system is monoclinic.

***

[18]
Density functional theory data (GGA-PBE) for a relaxed structure of DyErAl6.

POSCAR file:
```
DyErAl6
1.0
5.4896 0.0000 0.0000
0.0000 5.4896 0.0000
0.0000 0.0000 5.4896
Al Er Dy
6 1 1
direct
0.5000 0.7499 0.0000
0.7499 0.0000 0.5000
0.2501 0.0000 0.5000
0.5000 0.2501 0.0000
0.0000 0.5000 0.7499
0.0000 0.5000 0.2501
0.5000 0.5000 0.5000
0.0000 0.0000 0.0000
```

Its excess energy over the best structure of this formula in the dataset is 324.5 meV/atom. For the formation energy from the elements, the calculation gives -0.0907 eV/atom. The value obtained for the total energy is -32.35 eV per formula unit. Its crystal system is cubic.

***

[19]
Density functional theory data (GGA-PBE) for a relaxed structure of Ti3CoH2.

POSCAR file:
```
Ti3CoH2
1.0
-1.4295 1.8193 1.7222
-4.1479 -0.1798 -3.2531
-0.0774 -7.7631 5.7214
Ti H Co
6 4 2
direct
0.0466 0.8037 0.0933
0.7685 0.7758 0.5371
0.3930 0.6127 0.7860
0.2315 0.2242 0.4629
0.9534 0.1963 0.9067
0.6070 0.3873 0.2140
0.7067 0.4087 0.4134
0.9475 0.8206 0.8950
0.2933 0.5913 0.5866
0.0525 0.1794 0.1050
0.3487 0.1264 0.6974
0.6513 0.8736 0.3026
```

The value obtained for the total energy is -39.03 eV per formula unit. Its crystal system is monoclinic.

***

[20]
Density functional theory data (GGA-PBE) for a relaxed structure of La4TbPr10.

POSCAR file:
```
La4TbPr10
1.0
7.3523 0.0000 3.3199
3.6762 8.3090 1.6599
0.2567 0.0000 9.2328
Pr La Tb
10 4 1
direct
0.5000 0.7893 0.7895
0.2894 0.7895 0.2107
0.2500 0.5000 0.5000
0.9212 0.7893 0.7895
0.7106 0.2105 0.7893
0.2895 0.2105 0.7893
0.5000 0.2107 0.2105
0.7105 0.7895 0.2107
0.7500 0.5000 0.5000
0.0788 0.2107 0.2105
0.2264 0.5469 0.0004
0.7733 0.0004 0.4531
0.7736 0.4531 0.9996
0.2267 0.9996 0.5469
0.0000 0.0000 0.0000
```

For the formation energy from the elements, the calculation gives 0.2058 eV/atom. The value obtained for the total energy is -69.05 eV per formula unit. Its crystal system is tetragonal.

***

[21]
Density functional theory data (GGA-PBE) for a relaxed structure of MoIrPb4.

POSCAR file:
```
MoIrPb4
1.0
2.6993 0.2351 5.5298
-1.9377 -3.6919 4.5316
3.5427 -4.6656 1.8977
Pb Mo Ir
4 1 1
direct
0.3753 0.3753 0.3753
0.3753 0.3753 0.8742
0.8742 0.3753 0.3753
0.3753 0.8742 0.3753
0.0000 0.0000 0.0000
0.7500 0.7500 0.7500
```

For the formation energy from the elements, the calculation gives 1.3317 eV/atom. The value obtained for the total energy is -26.54 eV per formula unit. Its crystal system is cubic.

***

[22]
Density functional theory data (GGA-PBE) for a relaxed structure of SbRuIO2.

POSCAR file:
```
SbRuIO2
1.0
-0.9083 -3.8084 0.9008
2.3765 0.1980 3.2332
-4.6462 1.8886 3.2995
Ru O Sb I
1 2 1 1
direct
0.0000 0.0000 0.0000
0.0000 0.5000 0.0000
0.5000 0.0000 0.0000
0.5000 0.5000 0.5000
0.0000 0.0000 0.5000
```

Its excess energy over the best structure of this formula in the dataset is 15.6 meV/atom. The value obtained for the total energy is -24.05 eV per formula unit. As for the uncorrected formation energy: 0.16 eV/atom. Its crystal system is tetragonal.

***

[23]
Density functional theory data (GGA-PBE) for a relaxed structure of Tc2SnMoN.

POSCAR file:
```
Tc2SnMoN
1.0
-1.6451 -3.6020 -1.2310
2.0119 0.3157 -3.6123
3.2471 -2.0401 1.6302
N Sn Mo Tc
1 1 1 2
direct
0.0000 0.0000 0.0000
0.5000 0.5000 0.5000
0.0000 0.0000 0.5000
0.0000 0.5000 0.0000
0.5000 0.0000 0.0000
```

The value obtained for the total energy is -43.85 eV per formula unit. As for the uncorrected formation energy: 0.01 eV/atom. Its crystal system is tetragonal.

***

[24]
Density functional theory data (GGA-PBE) for a relaxed structure of Nd2UTe5.

POSCAR file:
```
Nd2UTe5
1.0
-4.1705 -0.8198 -1.1287
1.3691 -1.7541 -3.7846
1.5624 -24.1174 11.7430
Nd Te U
4 10 2
direct
0.5000 0.5000 0.7507
0.5000 0.5000 0.0912
0.0000 0.0000 0.2497
0.5000 0.5000 0.4233
0.0000 0.0000 0.1257
0.5000 0.5000 0.2146
0.0000 0.5000 0.3367
0.0000 0.5000 0.9967
0.0000 0.0000 0.7860
0.5000 0.5000 0.5479
0.0000 0.0000 0.4579
0.0000 0.5000 0.6637
0.5000 0.5000 0.8741
0.5000 0.0000 0.9967
0.0000 0.0000 0.9075
0.0000 0.0000 0.5777
```

Its excess energy over the best structure of this formula in the dataset is 0.0 meV/atom. The value obtained for the total energy is -45.39 eV per formula unit. As for the uncorrected formation energy: -1.11 eV/atom. Its crystal system is orthorhombic.

***

[25]
Density functional theory data (GGA-PBE) for a relaxed structure of Fe2TcRu.

POSCAR file:
```
Fe2TcRu
1.0
8.6441 0.0051 0.0030
8.2386 2.6164 0.0030
8.2386 1.2793 2.2823
Ru Tc Fe
1 1 2
direct
0.2500 0.2500 0.2500
0.7500 0.7500 0.7500
0.9998 0.9998 0.9998
0.5002 0.5002 0.5002
```

Its excess energy over the best structure of this formula in the dataset is 87.1 meV/atom. For the formation energy from the elements, the calculation gives 0.1822 eV/atom. The value obtained for the total energy is -35.84 eV per formula unit. Its crystal system is trigonal.